# 1
Th2GeHPt6 | GGA-PBE | relaxed

```
Th2GeHPt6
1.0
2.877 1.661 6.184
-2.877 1.661 6.184
0.000 -3.322 6.184
Th Ge H Pt
2 1 1 6
direct
0.221 0.221 0.221
0.779 0.779 0.779
0.500 0.500 0.500
0.000 0.000 0.000
0.230 0.230 0.732
0.230 0.732 0.230
0.268 0.770 0.770
0.732 0.230 0.230
0.770 0.268 0.770
0.770 0.770 0.268
```

Properties
**Space-group type**: R-3m

# 2
BaAl2Hg2 | GGA-PBE | relaxed

```
BaAl2Hg2
1.0
-2.434 2.434 5.492
2.434 -2.434 5.492
2.434 2.434 -5.492
Ba Al Hg
1 2 2
direct
0.000 0.000 0.000
0.379 0.379 0.000
0.621 0.621 0.000
0.250 0.750 0.500
0.750 0.250 0.500
```

Properties
**Calculated formation energy**: -0.283 eV per atom
**Space-group type**: I4/mmm

# 3
MgHgBiO2 | GGA-PBE | relaxed

```
MgHgBiO2
1.0
4.311 0.000 0.000
0.000 4.311 0.000
0.000 0.000 5.376
Mg Hg Bi O
1 1 1 2
direct
0.000 0.000 0.000
0.000 0.000 0.500
0.500 0.500 0.000
0.000 0.500 0.500
0.500 0.000 0.500
```

Properties
**Space-group type**: P4/mmm

Listing final energy for the structures above in their given order: -0.49487 -0.16799 -0.21044 Ry per atom.